Below is crystalline CsNa2Mn3P4ClO14 at its relaxed geometry, with properties calculated at the PBE with a Hubbard U level.

The structure in CIF format:
```
data_CsNa2Mn3P4ClO14
_chemical_formula_sum 'Cs4 Na8 Mn12 P16 Cl4 O56'
_space_group_name_H-M_alt 'C 1 2/c 1'
_space_group_IT_number 15
_cell_length_a 21.5529
_cell_length_b 5.3382
_cell_length_c 14.0882
_cell_angle_alpha 90.00
_cell_angle_beta 118.90
_cell_angle_gamma 90.00
loop_
_space_group_symop_operation_xyz
'x,y,z'
'-x,-y,-z'
'-x,y,-z+1/2'
'x,-y,z+1/2'
'x+1/2,y+1/2,z'
'-x+1/2,-y+1/2,-z'
'-x+1/2,y+1/2,-z+1/2'
'x+1/2,-y+1/2,z+1/2'
loop_
_atom_site_label
_atom_site_type_symbol
_atom_site_fract_x
_atom_site_fract_y
_atom_site_fract_z
Cs1 Cs 0.0000 0.0000 0.0000
Na1 Na 0.2206 0.0232 0.1532
Mn1 Mn 0.0000 0.4403 0.7500
Mn2 Mn 0.1585 0.0155 0.8472
P1 P 0.1211 0.4948 0.6749
P2 P 0.1580 0.4856 0.4942
Cl1 Cl 0.0000 0.0417 0.2500
O1 O 0.0444 0.4951 0.6520
O2 O 0.1093 0.4632 0.0522
O3 O 0.1180 0.3654 0.8876
O4 O 0.1588 0.2022 0.4771
O5 O 0.1591 0.2431 0.7153
O6 O 0.1663 0.2852 0.2444
O7 O 0.2306 0.4051 0.0717
```

Computed properties:
- volume (Å³ per atom) = 14.191
- raw total energy (eV per cell) = -691.65
- crystal system = monoclinic